Record 1
Density functional theory data (GGA-PBE) for an optimized crystal structure of Ba2MnW.

Summary:
E above lowest polymorph	0.000	eV per formula unit
symmetry	No. 99
total DFT energy (no corrections)	-23.00	eV per formula unit
calculated formation energy	0.74	eV/atom

extended XYZ file:
```
4
Lattice="3.4696 0.0000 0.0000 0.0000 3.4696 0.0000 0.0000 0.0000 9.9662" Properties=species:S:1:pos:R:3 pbc="T T T"
Ba 0.0000 0.0000 0.0000
Ba 1.7348 1.7348 4.0535
Mn 0.0000 0.0000 6.6233
W 1.7348 1.7348 7.2979
```

Record 2
Density functional theory data (GGA-PBE) for an optimized crystal structure of Ba2MnW.

Summary:
E above lowest polymorph	3.071	eV per formula unit
symmetry	No. 12
total DFT energy (no corrections)	-19.92	eV per formula unit
calculated formation energy	1.51	eV/atom

extended XYZ file:
```
4
Lattice="5.3718 -1.5704 0.0000 5.3718 1.5704 0.0000 -0.4486 0.0000 6.6439" Properties=species:S:1:pos:R:3 pbc="T T T"
Ba 2.5434 0.0000 1.6518
Ba 7.7516 0.0000 4.9922
Mn -0.2243 0.0000 3.3220
W 5.3718 0.0000 0.0000
```

Record 3
Density functional theory data (GGA-PBE) for an optimized crystal structure of BaMn2W.

Summary:
E above lowest polymorph	2.487	eV per formula unit
symmetry	No. 12
total DFT energy (no corrections)	-28.37	eV per formula unit
calculated formation energy	1.21	eV/atom

extended XYZ file:
```
4
Lattice="3.6021 -3.6085 0.0000 3.6021 3.6085 0.0000 -0.0056 0.0000 2.9687" Properties=species:S:1:pos:R:3 pbc="T T T"
Ba 0.0000 0.0000 0.0000
Mn 1.7982 1.8042 1.4844
Mn 1.7982 -1.8042 1.4844
W 3.6021 0.0000 0.0000
```